[1]
This record from Alexandria via LeMat-Bulk describes Ti2AlCo2 at its PBEsol-relaxed geometry. The functional is SCAN.

Output
**Space-group type**: P4/mbm, No. 127
**Energy of formation from the pure elements**: -394 meV per atom

```
Ti2AlCo2
1.0
2.911 0.000 0.000
0.000 6.748 0.000
0.000 0.000 6.748
Ti Al Co
4 2 4
direct
0.500 0.666 0.834
0.500 0.834 0.334
0.500 0.166 0.666
0.500 0.334 0.166
0.000 0.500 0.500
0.000 0.000 0.000
0.000 0.133 0.367
0.000 0.367 0.867
0.000 0.867 0.633
0.000 0.633 0.133
```

[2]
This record from Alexandria via LeMat-Bulk describes BeNi2As at its PBEsol-relaxed geometry. The functional is SCAN.

Output
**Space-group type**: P4/mmm, No. 123
**Energy of formation from the pure elements**: -234 meV per atom

```
BeNi2As
1.0
-1.896 2.439 1.056
-0.778 -1.897 2.986
2.844 1.483 1.683
Ni As Be
2 1 1
direct
0.000 0.000 0.500
0.000 0.500 0.000
0.500 0.500 0.500
0.500 0.000 0.000
```

[3]
This record from Alexandria via LeMat-Bulk describes ZrAgHgMo2 at its PBEsol-relaxed geometry. The functional is SCAN.

Output
**Space-group type**: P4/mmm, No. 123
**Energy of formation from the pure elements**: 2003 meV per atom

```
ZrAgHgMo2
1.0
-3.936 1.180 2.652
-2.290 -4.008 -1.616
1.859 -2.650 3.937
Mo Hg Zr Ag
2 1 1 1
direct
0.500 0.000 0.000
0.000 0.500 0.000
0.000 0.000 0.000
0.000 0.000 0.500
0.500 0.500 0.500
```

[4]
This record from Alexandria via LeMat-Bulk describes DyLuRu2 at its PBEsol-relaxed geometry. The functional is SCAN.

Output
**Space-group type**: Fm-3m, No. 225
**Energy of formation from the pure elements**: -511 meV per atom

```
DyLuRu2
1.0
-4.311 -1.717 -0.589
-2.459 -1.466 3.699
-3.710 2.445 1.460
Lu Dy Ru
1 1 2
direct
0.500 0.500 0.500
0.000 0.000 0.000
0.250 0.250 0.250
0.750 0.750 0.750
```

[5]
This record from Alexandria via LeMat-Bulk describes Zn2FeCu at its PBEsol-relaxed geometry. The functional is SCAN.

Output
**Space-group type**: Pmm2, No. 25
**Energy of formation from the pure elements**: -12 meV per atom

```
Zn2FeCu
1.0
2.600 0.000 0.000
0.000 4.237 0.000
0.000 0.000 4.402
Fe Cu Zn
1 1 2
direct
0.500 0.500 0.190
0.500 0.000 0.555
0.000 0.500 0.689
0.000 0.000 0.067
```

[6]
This record from Alexandria via LeMat-Bulk describes SiSnP2 at its PBEsol-relaxed geometry. The functional is SCAN.

Output
**Energy relative to the elements, uncorrected**: 0.09 eV per atom
**Space-group type**: I-42d, No. 122

```
SiSnP2
1.0
-5.270 0.197 2.882
4.099 -3.470 2.697
2.857 5.284 -0.172
P Sn Si
4 2 2
direct
0.433 0.558 0.625
0.933 0.375 0.808
0.067 0.875 0.442
0.567 0.192 0.125
0.000 0.000 0.000
0.500 0.750 0.250
0.500 0.250 0.750
0.000 0.500 0.500
```

[7]
This record from Alexandria via LeMat-Bulk describes CoAg2Au at its PBEsol-relaxed geometry. The functional is SCAN.

Output
**Space-group type**: P4/mmm, No. 123
**Energy of formation from the pure elements**: 191 meV per atom

```
CoAg2Au
1.0
2.722 0.457 0.000
-0.453 2.723 0.000
0.000 0.000 7.983
Co Ag Au
1 2 1
direct
0.500 0.500 0.000
0.000 0.000 0.770
0.000 0.000 0.230
0.500 0.500 0.500
```

[8]
This record from Alexandria via LeMat-Bulk describes InCuB2Mo at its PBEsol-relaxed geometry. The functional is SCAN.

Output
**Space-group type**: P4/mmm, No. 123
**Energy of formation from the pure elements**: 1301 meV per atom

```
InCuB2Mo
1.0
-1.179 0.920 3.513
-1.642 -3.430 0.347
4.211 -1.824 1.891
Cu B Mo In
1 2 1 1
direct
0.000 0.000 0.000
0.500 0.000 0.000
0.000 0.500 0.000
0.000 0.000 0.500
0.500 0.500 0.500
```

[9]
This record from Alexandria via LeMat-Bulk describes SiRuO2 at its PBEsol-relaxed geometry. The functional is SCAN.

Output
**Energy relative to the elements, uncorrected**: -1.22 eV per atom
**Space-group type**: R-3m, No. 166

```
SiRuO2
1.0
2.738 0.000 0.000
1.369 2.371 0.000
1.369 0.790 6.196
O Ru Si
2 1 1
direct
0.118 0.118 0.647
0.882 0.882 0.353
0.000 0.000 0.000
0.500 0.500 0.500
```

[10]
This record from Alexandria via LeMat-Bulk describes TaFeCo2 at its PBEsol-relaxed geometry. The functional is SCAN.

Output
**Space-group type**: I-4m2, No. 119
**Energy of formation from the pure elements**: -37 meV per atom

```
TaFeCo2
1.0
-3.374 0.252 1.142
-1.124 -1.661 -2.954
2.588 -2.615 2.643
Co Ta Fe
2 1 1
direct
0.750 0.250 0.500
0.500 0.500 0.000
0.250 0.750 0.500
0.000 0.000 0.000
```

[11]
This record from Alexandria via LeMat-Bulk describes CaInSi2 at its PBEsol-relaxed geometry. The functional is SCAN.

Output
**Energy relative to the elements, uncorrected**: -0.10 eV per atom
**Space-group type**: Pm, No. 6

```
CaInSi2
1.0
3.716 0.000 0.000
0.000 4.693 -0.095
0.000 -2.180 5.097
Si In Ca
2 1 1
direct
0.500 0.959 0.285
0.000 0.803 0.986
0.500 0.223 0.828
0.000 0.515 0.402
```

[12]
This record from Alexandria via LeMat-Bulk describes MgMo2W at its PBEsol-relaxed geometry. The functional is SCAN.

Output
**Space-group type**: Immm, No. 71
**Energy of formation from the pure elements**: 330 meV per atom

```
MgMo2W
1.0
-0.585 0.143 -3.099
0.673 -4.472 -0.333
-4.362 1.457 2.498
Mg Mo W
1 2 1
direct
0.000 0.500 0.000
0.765 0.765 0.530
0.235 0.235 0.470
0.500 0.000 0.000
```